PBE CoCuP2, relaxed; Fermi-level density of states = 0.61 states/eV/atom; uncorrected energy = -43.9 eV/cell; theoretical density = 4.6 Mg/m³
1.0
-2.538 2.538 5.153
2.538 -2.538 5.153
2.538 2.538 -5.153
Co Cu P
2 2 4
Direct
0.000 0.000 0.000 Co
0.750 0.250 0.500 Co
0.250 0.750 0.500 Cu
0.500 0.500 0.000 Cu
0.097 0.625 0.972 P
0.375 0.347 0.472 P
0.653 0.125 0.028 P
0.875 0.903 0.528 P


PBE BaGdBi2, relaxed; Fermi-level density of states = 0.97 states/eV/atom; energy above the lowest structure with this stoichiometry = 0.000 eV per atom; theoretical density = 7.5 Mg/m³
1.0
2.403 1.387 7.843
-2.403 1.387 7.843
0.000 -2.774 7.843
Ba Gd Bi
1 1 2
Direct
0.000 0.000 0.000 Ba
0.500 0.500 0.500 Gd
0.236 0.236 0.236 Bi
0.764 0.764 0.764 Bi


PBE LaTm2Pa, relaxed; Fermi-level density of states = 1.45 states/eV/atom; energy above the lowest structure with this stoichiometry = 0.042 eV per atom; theoretical density = 9.8 Mg/m³
1.0
1.692 0.977 12.150
-1.692 0.977 12.150
0.000 -1.954 12.150
La Tm Pa
1 2 1
Direct
0.000 0.000 0.000 La
0.093 0.093 0.093 Tm
0.907 0.907 0.907 Tm
0.500 0.500 0.500 Pa


PBE Ta2NbSe2, relaxed; E_form (uncorrected) = 0.417 eV per atom; Fermi-level density of states = 1.08 states/eV/atom; energy above the lowest structure with this stoichiometry = 0.789 eV per atom; theoretical density = 10.0 Mg/m³
1.0
-2.381 2.381 4.475
2.381 -2.381 4.475
2.381 2.381 -4.475
Ta Nb Se
2 1 2
Direct
0.137 0.137 0.000 Ta
0.863 0.863 0.000 Ta
0.500 0.500 0.000 Nb
0.250 0.750 0.500 Se
0.750 0.250 0.500 Se